# 1
Computed, not measured: a relaxed PmMg2Sn4 crystal at the PBE level of DFT.

Unit cell a=9.652 b=9.652 c=4.662 alpha=96.73 beta=96.73 gamma=26.64
Positions (direct):
Pm (0.000, 0.000, 0.000)
Mg (0.252, 0.252, 0.258)
Mg (0.748, 0.748, 0.742)
Sn (0.125, 0.125, 0.569)
Sn (0.371, 0.371, 0.915)
Sn (0.629, 0.629, 0.085)
Sn (0.875, 0.875, 0.431)

Values from the calculation:
E_tot   -3.667 eV per atom


# 2
Computed, not measured: a relaxed LiCeZrS4 crystal at the PBE level of DFT.

Unit cell a=7.857 b=7.857 c=7.857 alpha=123.06 beta=117.12 gamma=89.92
Positions (direct):
Li (0.378, 0.128, 0.250)
Li (0.622, 0.872, 0.750)
Ce (0.000, 0.500, 0.500)
Ce (0.500, 0.500, 0.000)
Zr (0.000, 0.000, 0.500)
Zr (0.000, 0.500, 0.000)
S (0.222, 0.249, 0.972)
S (0.223, 0.751, 0.472)
S (0.233, 0.234, 0.501)
S (0.233, 0.732, 0.999)
S (0.767, 0.268, 0.001)
S (0.767, 0.766, 0.499)
S (0.777, 0.249, 0.528)
S (0.778, 0.751, 0.028)

Values from the calculation:
Raw formation energy   -1.657 eV per atom